[1]
A geometry-optimized Ba2Hg2Sb structure, computed with PBE.

Results
**SG**: P4/mbm, No. 127
**Polymorph energy (0 for the lowest one)**: 0.243 eV/atom
**Formation energy without anion corrections**: -40 kJ per mole of atoms

```
10
Lattice="9.552 0.000 0.000 0.000 9.552 0.000 0.000 0.000 4.375" Properties=species:S:1:pos:R:3 pbc="T T T"
Ba 7.787 6.540 0.000
Hg 8.451 3.675 2.188
Ba 6.540 1.764 0.000
Ba 1.764 3.012 0.000
Hg 3.675 1.101 2.188
Hg 5.877 8.451 2.188
Ba 3.012 7.787 0.000
Hg 1.101 5.877 2.188
Sb 0.000 0.000 0.000
Sb 4.776 4.776 0.000
```


[2]
A geometry-optimized FeSb3H structure, computed with PBE.

Results
**SG**: Pm-3m, No. 221
**Polymorph energy (0 for the lowest one)**: 0.141 eV/atom

```
5
Lattice="-4.289 -1.297 -0.746 1.488 -3.456 -2.545 0.159 -2.647 3.688" Properties=species:S:1:pos:R:3 pbc="T T T"
Sb 0.744 -1.728 -1.272
Sb 0.079 -1.324 1.844
Sb -2.145 -0.648 -0.373
H 0.000 0.000 0.000
Fe -1.321 -3.700 0.198
```


[3]
A geometry-optimized ZrBeVAs2 structure, computed with PBE.

Results
**SG**: P4/mmm, No. 123
**Energy of formation from the pure elements**: 0.211 eV/atom

```
5
Lattice="4.669 0.000 0.000 0.000 4.100 0.000 0.000 0.000 4.669" Properties=species:S:1:pos:R:3 pbc="T T T"
As 0.000 0.000 2.335
Be 0.000 2.050 0.000
Zr 2.335 2.050 2.335
As 2.335 0.000 0.000
V 0.000 0.000 0.000
```


[4]
A geometry-optimized SrSn3Pb2Se6 structure, computed with PBE.

Results
**SG**: C2/m, No. 12
**Formation energy without anion corrections**: -71 kJ per mole of atoms

```
12
Lattice="-0.566 -0.463 -4.291 8.473 -1.818 -0.922 -3.653 -8.295 3.584" Properties=species:S:1:pos:R:3 pbc="T T T"
Sn -1.493 -6.223 -1.339
Pb 2.740 -7.125 -1.801
Se -2.056 -9.182 -0.946
Se 3.386 -4.123 -2.210
Se -0.949 -3.248 -1.732
Se 5.202 -7.328 0.104
Pb 1.514 -3.451 0.173
Sr -0.283 -0.231 -2.145
Se 0.868 -6.453 0.582
Sn 5.747 -4.352 -0.289
Sn 3.953 -1.141 -2.606
Se 6.309 -1.394 -0.682
```


[5]
A geometry-optimized RbV3Cl12 structure, computed with PBE.

Results
**SG**: P6_3/m, No. 176
**Formation energy without anion corrections**: -122 kJ per mole of atoms

```
32
Lattice="-8.573 0.786 -0.617 -0.881 -12.295 -3.414 -0.590 3.265 12.353" Properties=species:S:1:pos:R:3 pbc="T T T"
Cl -4.708 -8.401 -0.279
V -7.395 -4.656 6.263
Rb -7.214 -6.519 1.379
Cl -2.475 1.737 6.408
V -3.302 -8.876 4.382
Cl -9.136 -3.577 7.009
Cl -1.185 -8.724 -0.025
Cl -6.864 -5.270 -1.895
Cl -8.860 0.480 8.347
Cl -4.433 -4.344 1.059
Cl -7.416 -10.986 -1.507
Cl -5.612 -3.900 7.262
Cl -3.436 -6.429 9.359
Cl -1.404 -7.829 4.155
Cl -7.570 -9.981 1.913
Cl -2.427 -1.489 1.641
V -6.743 0.632 3.939
Cl -7.208 -4.306 4.117
Cl -7.618 -6.755 6.680
V -7.213 0.027 9.701
Cl -8.641 -0.415 4.167
Rb -2.830 -1.725 6.943
Cl -3.181 -2.974 10.216
Cl -2.629 2.742 9.829
Cl -4.927 -7.506 3.901
Cl -0.909 -4.667 1.313
Cl -5.117 -0.738 4.420
V -2.650 -3.588 2.059
Cl -6.609 -1.815 -1.037
V -2.831 -8.271 -1.380
Cl -5.336 0.157 8.601
Cl -2.836 -3.938 4.204
```


[6]
A geometry-optimized Li4CdGa2 structure, computed with PBE.

Results
**SG**: Cmmm, No. 65
**Polymorph energy (0 for the lowest one)**: 0.114 eV/atom
**Energy of formation from the pure elements**: -0.062 eV/atom

```
7
Lattice="5.014 0.000 0.000 0.000 5.060 0.000 0.000 -2.530 5.326" Properties=species:S:1:pos:R:3 pbc="T T T"
Ga 2.507 2.530 4.114
Li 0.000 2.530 3.354
Ga 2.507 0.000 1.212
Li 0.000 0.000 1.972
Li 2.507 0.000 3.793
Li 2.507 2.530 1.534
Cd 0.000 2.530 0.000
```


Magnetization: 0.00; 0.00; 0.00; 0.00; 8.00; 0.00 (μB per cell)